1.
Compound: Li2HfZr2Pd5
Source: Alexandria
Functional: PBE-GGA
Structure: relaxed

Output
The calculation puts the density of states at the Fermi level at 16.22 states/eV/cell. The value obtained for the final energy is -6.227 eV/atom. The value obtained for the formation energy is -0.543 eV per atom.

a = 9.6759 Å, b = 9.6759 Å, c = 3.4833 Å
α = 90.00°, β = 90.00°, γ = 90.00°
With the nearest neighbours (Å) after each atom.
Positions (direct):
Li: 0.1224 0.3776 0.0000  6 Pd 2.42-2.46
Li: 0.3776 0.8776 0.0000  6 Pd 2.42-2.46
Li: 0.6224 0.1224 0.0000  6 Pd 2.42-2.46
Li: 0.8776 0.6224 0.0000  6 Pd 2.42-2.46
Hf: 0.0000 0.0000 0.0000  8 Pd 2.73
Hf: 0.5000 0.5000 0.0000  8 Pd 2.73
Zr: 0.1751 0.6751 0.0000  3 Li 2.77-2.92, 6 Pd 2.96-3.08
Zr: 0.3249 0.1751 0.0000  3 Li 2.77-2.92, 6 Pd 2.96-3.08
Zr: 0.6751 0.8249 0.0000  3 Li 2.77-2.92, 6 Pd 2.96-3.08
Zr: 0.8249 0.3249 0.0000  3 Li 2.77-2.92, 6 Pd 2.96-3.08
Pd: 0.0000 0.5000 0.5000  4 Li 2.42
Pd: 0.0638 0.2075 0.5000  2 Li 2.46, 2 Hf 2.73
Pd: 0.2075 0.9362 0.5000  2 Li 2.46, 2 Hf 2.73
Pd: 0.2925 0.4362 0.5000  2 Li 2.46, 2 Hf 2.73
Pd: 0.4362 0.7075 0.5000  2 Li 2.46, 2 Hf 2.73
Pd: 0.5000 0.0000 0.5000  4 Li 2.42
Pd: 0.5638 0.2925 0.5000  2 Li 2.46, 2 Hf 2.73
Pd: 0.7075 0.5638 0.5000  2 Li 2.46, 2 Hf 2.73
Pd: 0.7925 0.0638 0.5000  2 Li 2.46, 2 Hf 2.73
Pd: 0.9362 0.7925 0.5000  2 Li 2.46, 2 Hf 2.73

***

2.
Compound: Tl2InIO6
Source: Alexandria
Functional: PBE-GGA
Structure: relaxed

Output
The calculation puts the density of states at the Fermi level at 0.00 states/eV/cell. The formation energy from raw total energies is -684 meV/atom. The value obtained for the final energy is -4.561 eV/atom.

a = 6.4748 Å, b = 6.4748 Å, c = 5.6887 Å
α = 90.00°, β = 90.00°, γ = 120.00°
With the nearest neighbours (Å) after each atom.
Positions (direct):
Tl: 0.3333 0.6667 0.0967  3 O 2.82
Tl: 0.6667 0.3333 0.9033  3 O 2.82
In: 0.0000 0.0000 0.5000  6 O 2.25
I: 0.0000 0.0000 0.0000  6 O 1.92
O: 0.1353 0.2706 0.7918  1 I 1.92
O: 0.1353 0.8647 0.7918  1 I 1.92
O: 0.2706 0.1353 0.2082  1 I 1.92
O: 0.7294 0.8647 0.7918  1 I 1.92
O: 0.8647 0.1353 0.2082  1 I 1.92
O: 0.8647 0.7294 0.2082  1 I 1.92

***

3.
Compound: TmSc3Fe
Source: Alexandria
Functional: PBE-GGA
Structure: relaxed

Output
The calculation puts the density of states at the Fermi level at 6.30 states/eV/cell. The value obtained for the final energy is -6.367 eV/atom. The value obtained for the relative energy among the computed polymorphs is 0 meV/atom. The value obtained for the formation energy is 0.019 eV per atom.

a = 4.9095 Å, b = 4.9095 Å, c = 4.9095 Å
α = 90.00°, β = 90.00°, γ = 90.00°
With the nearest neighbours (Å) after each atom.
Positions (direct):
Tm: 0.0000 0.0000 0.0000  12 Sc 3.47
Sc: 0.0000 0.5000 0.5000  2 Fe 2.45
Sc: 0.5000 0.0000 0.5000  2 Fe 2.45
Sc: 0.5000 0.5000 0.0000  2 Fe 2.45
Fe: 0.5000 0.5000 0.5000  6 Sc 2.45

***

> The lowest density of states at the Fermi level belongs to which entry?

Tl2InIO6

***

> What is the density of states at the Fermi level in the second record?

0.00 states/eV/cell

***

> density of states at the Fermi level of number 1 (Li2HfZr2Pd5)?

16.22 states/eV/cell

***

> Look up the density of states at the Fermi level of the second one.

0.00 states/eV/cell